DFT (GGA-PBE) results for a relaxed structure of GaFeIr6.

a b c (Å): 3.854 3.854 7.690
angles (deg): 90.00 90.00 90.00
Sites, in units of the cell vectors:
Ga (0.000, 0.000, 0.000)
Fe (0.000, 0.000, 0.500)
Ir (0.000, 0.500, 0.256)
Ir (0.000, 0.500, 0.744)
Ir (0.500, 0.000, 0.256)
Ir (0.500, 0.000, 0.744)
Ir (0.500, 0.500, 0.000)
Ir (0.500, 0.500, 0.500)

## Properties
Calculated formation energy ... -0.07 eV per atom
Size of the total moment ... 2.64 Bohr magnetons per cell

***

DFT (GGA-PBE) results for a relaxed structure of KSb2As.

a b c (Å): 4.820 4.820 9.369
angles (deg): 90.00 90.00 90.00
Sites, in units of the cell vectors:
K (0.000, 0.000, 0.000)
K (0.500, 0.500, 0.500)
Sb (0.000, 0.000, 0.500)
Sb (0.000, 0.500, 0.750)
Sb (0.500, 0.000, 0.250)
Sb (0.500, 0.500, 0.000)
As (0.000, 0.500, 0.250)
As (0.500, 0.000, 0.750)

## Properties
Formation energy (no corrections) ... 113 meV per atom
Size of the total moment ... 0.00 Bohr magnetons per cell